(1)
BeAsBr | meta-GGA SCAN | PBEsol geometry

Calculated values
Raw total energy, eV per formula unit: -39.68
ΔE_f (raw), eV/atom: 1.442

a b c (Å): 4.461 4.461 4.461
angles (deg): 60.00 60.00 60.00
Atoms (fractional coordinates):
As 0.000 0.000 0.000
Br 0.250 0.250 0.250
Be 0.500 0.500 0.500



(2)
BeCoAsBr2 | meta-GGA SCAN | PBEsol geometry

Calculated values
Raw total energy, eV per formula unit: -77.05
ΔE_f (raw), eV/atom: 0.743

a b c (Å): 4.395 4.882 4.882
angles (deg): 90.00 90.00 90.00
Atoms (fractional coordinates):
Be 0.500 0.500 0.500
As 0.500 0.000 0.000
Co 0.000 0.000 0.000
Br 0.000 0.500 0.000
Br 0.000 0.000 0.500



(3)
BeFeAs2Br | meta-GGA SCAN | PBEsol geometry

Calculated values
Raw total energy, eV per formula unit: -78.30
ΔE_f (raw), eV/atom: 0.805

a b c (Å): 4.381 4.381 5.159
angles (deg): 90.00 90.00 90.00
Site moments in Bohr magnetons follow the coordinates.
Atoms (fractional coordinates):
As 0.500 0.000 0.000  -0.12
Be 0.500 0.500 0.500  0.00
Fe 0.000 0.000 0.000  1.68
As 0.000 0.500 0.000  -0.12
Br 0.000 0.000 0.500  -0.02



(4)
BeAs2HBr | meta-GGA SCAN | PBEsol geometry

Calculated values
Raw total energy, eV per formula unit: -63.31

a b c (Å): 4.371 4.371 5.043
angles (deg): 90.00 90.00 90.00
Site moments in Bohr magnetons follow the coordinates.
Atoms (fractional coordinates):
As 0.500 0.000 0.000  -0.10
Be 0.000 0.000 0.000  0.01
Br 0.000 0.000 0.500  -0.04
As 0.000 0.500 0.000  -0.10
H 0.500 0.500 0.500  0.35



(5)
Li4Be3As3BrO12 | meta-GGA SCAN | PBEsol geometry

Calculated values
Raw total energy, eV per formula unit: -226.51
ΔE_f (raw), eV/atom: -2.134

a b c (Å): 8.306 8.306 8.306
angles (deg): 90.00 90.00 90.00
Site moments in Bohr magnetons follow the coordinates.
Atoms (fractional coordinates):
O 0.643 0.093 0.364  0.00
Br 0.000 0.000 0.000  0.10
Be 0.500 0.750 0.000  0.00
O 0.593 0.857 0.136  0.00
O 0.864 0.407 0.857  0.00
O 0.907 0.364 0.357  0.00
O 0.093 0.636 0.357  0.00
Li 0.823 0.823 0.177  0.00
O 0.143 0.864 0.593  0.00
Be 0.000 0.500 0.750  0.00
Br 0.500 0.500 0.500  0.10
Li 0.323 0.677 0.323  0.00
O 0.864 0.593 0.143  0.00
O 0.093 0.364 0.643  0.00
O 0.643 0.907 0.636  0.00
Be 0.500 0.250 0.000  0.00
O 0.364 0.643 0.093  0.00
Li 0.823 0.177 0.823  0.00
O 0.364 0.357 0.907  0.00
O 0.357 0.093 0.636  0.00
Li 0.323 0.323 0.677  0.00
As 0.250 0.500 0.000  0.00
O 0.143 0.136 0.407  0.00
O 0.857 0.136 0.593  0.00
O 0.136 0.407 0.143  0.00
Li 0.677 0.677 0.677  0.00
O 0.636 0.357 0.093  0.00
As 0.500 0.000 0.750  0.00
Be 0.750 0.000 0.500  0.00
O 0.636 0.643 0.907  0.00
As 0.000 0.250 0.500  0.00
Be 0.250 0.000 0.500  0.00
O 0.593 0.143 0.864  0.00
As 0.500 0.000 0.250  0.00
O 0.357 0.907 0.364  0.00
O 0.857 0.864 0.407  0.00
As 0.000 0.750 0.500  0.00
O 0.907 0.636 0.643  0.00
Li 0.177 0.177 0.177  0.00
As 0.750 0.500 0.000  0.00
O 0.407 0.143 0.136  0.00
Be 0.000 0.500 0.250  0.00
Li 0.177 0.823 0.823  0.00
O 0.407 0.857 0.864  0.00
Li 0.677 0.323 0.323  0.00
O 0.136 0.593 0.857  0.00



(6)
BeAsBr2O | meta-GGA SCAN | PBEsol geometry

Calculated values
Raw total energy, eV per formula unit: -66.77
ΔE_f (raw), eV/atom: 0.585

a b c (Å): 4.555 4.555 4.603
angles (deg): 90.00 90.00 90.00
Site moments in Bohr magnetons follow the coordinates.
Atoms (fractional coordinates):
Br 0.000 0.500 0.000  0.01
O 0.500 0.500 0.500  1.11
Br 0.500 0.000 0.000  0.01
Be 0.000 0.000 0.000  0.00
As 0.000 0.000 0.500  -0.09